[1]
This record from Alexandria describes a relaxed structure of SbTe2Cl. The functional is GGA-PBE.

## Properties
energy above the most stable polymorph in this dataset: 1.10 eV/f.u.
formation energy from raw total energies: 0.0184 eV/atom

Cell: 3.853 4.927 11.887 Å, 90.00 90.00 90.00°
Fractional positions:
Sb  0.000  0.000  0.000
Sb  0.500  0.500  0.500
Te  0.000  0.500  0.287
Te  0.000  0.500  0.713
Te  0.500  0.000  0.213
Te  0.500  0.000  0.787
Cl  0.000  0.000  0.500
Cl  0.500  0.500  0.000

[2]
This record from Alexandria describes a relaxed structure of GdTmRuPt. The functional is GGA-PBE.

## Properties
formation energy: -303 kJ/mol of formula units

Cell: 6.872 6.872 6.872 Å, 90.00 90.00 90.00°
Fractional positions:
Gd  0.000  0.000  0.000
Gd  0.000  0.500  0.500
Gd  0.500  0.000  0.500
Gd  0.500  0.500  0.000
Tm  0.000  0.000  0.500
Tm  0.000  0.500  0.000
Tm  0.500  0.000  0.000
Tm  0.500  0.500  0.500
Ru  0.250  0.250  0.250
Ru  0.250  0.750  0.750
Ru  0.750  0.250  0.750
Ru  0.750  0.750  0.250
Pt  0.250  0.250  0.750
Pt  0.250  0.750  0.250
Pt  0.750  0.250  0.250
Pt  0.750  0.750  0.750

[3]
This record from Alexandria describes a relaxed structure of BaNi2W. The functional is GGA-PBE.

## Properties
energy above the most stable polymorph in this dataset: 3.53 eV/f.u.
formation energy: 443 kJ/mol of formula units

Cell: 6.736 6.736 6.736 Å, 90.00 90.00 90.00°
Fractional positions:
Ba  0.000  0.000  0.000
Ba  0.000  0.500  0.500
Ba  0.500  0.000  0.500
Ba  0.500  0.500  0.000
Ni  0.250  0.250  0.250
Ni  0.250  0.250  0.750
Ni  0.250  0.750  0.250
Ni  0.250  0.750  0.750
Ni  0.750  0.250  0.250
Ni  0.750  0.250  0.750
Ni  0.750  0.750  0.250
Ni  0.750  0.750  0.750
W  0.000  0.000  0.500
W  0.000  0.500  0.000
W  0.500  0.000  0.000
W  0.500  0.500  0.500

[4]
This record from Alexandria describes a relaxed structure of CaCuRu2. The functional is GGA-PBE.

## Properties
energy above the most stable polymorph in this dataset: 1.51 eV/f.u.
formation energy: 236 kJ/mol of formula units

Cell: 2.836 2.836 27.337 Å, 90.00 90.00 120.00°
Fractional positions:
Ca  0.000  0.000  0.000
Ca  0.333  0.667  0.667
Ca  0.667  0.333  0.333
Cu  0.000  0.000  0.500
Cu  0.333  0.667  0.167
Cu  0.667  0.333  0.833
Ru  0.000  0.000  0.242
Ru  0.000  0.000  0.758
Ru  0.333  0.667  0.425
Ru  0.333  0.667  0.909
Ru  0.667  0.333  0.091
Ru  0.667  0.333  0.575

[5]
This record from Alexandria describes a relaxed structure of BaCrNi. The functional is GGA-PBE.

## Properties
energy above the most stable polymorph in this dataset: 0.66 eV/f.u.
formation energy: 140 kJ/mol of formula units

Cell: 4.299 4.299 9.755 Å, 90.00 90.00 120.00°
Fractional positions:
Ba  0.000  0.000  0.000
Ba  0.000  0.000  0.500
Cr  0.333  0.667  0.250
Cr  0.667  0.333  0.750
Ni  0.333  0.667  0.750
Ni  0.667  0.333  0.250

[6]
This record from Alexandria describes a relaxed structure of CrTe2AsN. The functional is GGA-PBE.

## Properties
energy above the most stable polymorph in this dataset: 0.00 eV/f.u.
formation energy from raw total energies: 0.2924 eV/atom

Cell: 5.351 5.351 3.561 Å, 90.00 90.00 90.00°
Fractional positions:
Cr  0.000  0.000  0.000
Te  0.000  0.500  0.000
Te  0.500  0.000  0.000
As  0.500  0.500  0.500
N  0.000  0.000  0.500